TiZnN2F | GGA-PBEsol | relaxed

Properties
energy: -5.653 eV per atom
total moment: 0.14 Bohr magnetons per cell
crystal system: tetragonal

a = 3.7931 Å, b = 3.7931 Å, c = 3.7039 Å
α = 90.00°, β = 90.00°, γ = 90.00°
With the nearest neighbours (Å) after each atom.
Positions (direct):
Ti 0.0000 0.0000 0.0000  8 N 2.65, 4 F 2.68
Zn 0.5000 0.5000 0.5000  2 F 1.85, 4 N 1.90
N 0.0000 0.5000 0.5000  2 Zn 1.90
N 0.5000 0.0000 0.5000  2 Zn 1.90
F 0.5000 0.5000 0.0000  2 Zn 1.85